(1)
A plane-wave DFT calculation with PBE was carried out for a relaxed structure of CuSiSe2.

As for the uncorrected formation energy: -74 meV per atom. Its magnetization is 0.000 μB/atom.

The space group is Pm (No. 6) and the conventional cell measures 3.8779, 4.3459 and 5.9067 Å, with angles of 90.00, 90.20 and 90.00 degrees. The distinct sites, in fractional coordinates, are Cu at (0.0000, 0.0000, 0.0000), Si at (0.4997, 0.5000, 0.0513), Se at (0.5012, 0.0000, 0.2524) and Se at (0.9981, 0.5000, 0.7878).



(2)
A plane-wave DFT calculation with PBE was carried out for a relaxed structure of Ca2TlAgHg4.

Its formation energy is -0.3241 eV/atom. Its magnetization is 0.000 μB/atom.

The space group is R-3m (No. 166, hexagonal axes) and the conventional cell measures 5.1814, 5.1814 and 25.6786 Å, with angles of 90.00, 90.00 and 120.00 degrees. The distinct sites, in fractional coordinates, are Ca at (0.0000, 0.0000, 0.2504), Tl at (0.0000, 0.0000, 0.0000), Ag at (0.0000, 0.0000, 0.5000), Hg at (0.0000, 0.0000, 0.1292) and Hg at (0.0000, 0.0000, 0.3804).



(3)
A plane-wave DFT calculation with PBE was carried out for a relaxed structure of SbTe2Os.

As for the uncorrected formation energy: 647 meV per atom. Its magnetization is 0.000 μB/atom.

The space group is Cmmm (No. 65) and the conventional cell measures 3.2414, 5.4085 and 11.1204 Å, with angles of 90.00, 90.00 and 90.00 degrees. The distinct sites, in fractional coordinates, are Sb at (0.0000, 0.0000, 0.0000), Te at (0.0000, 0.5000, 0.3037) and Os at (0.0000, 0.0000, 0.5000).



(4)
A plane-wave DFT calculation with PBE was carried out for a relaxed structure of V4CrNi.

Its formation energy is -0.0609 eV/atom. Its magnetization is 0.002 μB/atom. For the offset from the most stable computed form, the calculation gives 0 meV/atom.

The space group is P4/mmm (No. 123) and the conventional cell measures 2.9503, 2.9503 and 8.7463 Å, with angles of 90.00, 90.00 and 90.00 degrees. The distinct sites, in fractional coordinates, are V at (0.0000, 0.0000, 0.1648), V at (0.5000, 0.5000, 0.3336), Cr at (0.5000, 0.5000, 0.0000) and Ni at (0.0000, 0.0000, 0.5000).



(5)
A plane-wave DFT calculation with PBE was carried out for a relaxed structure of TbY2Cu.

Its formation energy is -0.0896 eV/atom. Its magnetization is 0.000 μB/atom. For the offset from the most stable computed form, the calculation gives 18 meV/atom.

The space group is P4/mmm (No. 123) and the conventional cell measures 3.5045, 3.5045 and 8.7329 Å, with angles of 90.00, 90.00 and 90.00 degrees. The distinct sites, in fractional coordinates, are Tb at (0.0000, 0.0000, 0.0000), Y at (0.5000, 0.5000, 0.3026) and Cu at (0.0000, 0.0000, 0.5000).



(6)
A plane-wave DFT calculation with PBE was carried out for a relaxed structure of Cs3Pu2PbO9.

As for the uncorrected formation energy: -2075 meV per atom. Its magnetization is 0.200 μB/atom.

The space group is P-3m1 (No. 164) and the conventional cell measures 6.3378, 6.3378 and 7.8200 Å, with angles of 90.00, 90.00 and 120.00 degrees. The distinct sites, in fractional coordinates, are Cs at (0.0000, 0.0000, 0.0000), Cs at (0.3333, 0.6667, 0.6563), Pu at (0.3333, 0.6667, 0.1521), Pb at (0.0000, 0.0000, 0.5000), O at (0.0000, 0.5000, 0.0000) and O at (0.1865, 0.3731, 0.3007).



(7)
A plane-wave DFT calculation with PBE was carried out for a relaxed structure of DyHo2InRh4.

Its formation energy is -0.8252 eV/atom. Its magnetization is 0.000 μB/atom.

The space group is R-3m (No. 166, hexagonal axes) and the conventional cell measures 4.7701, 4.7701 and 23.2250 Å, with angles of 90.00, 90.00 and 120.00 degrees. The distinct sites, in fractional coordinates, are Dy at (0.0000, 0.0000, 0.0000), Ho at (0.0000, 0.0000, 0.2451), In at (0.0000, 0.0000, 0.5000), Rh at (0.0000, 0.0000, 0.1238) and Rh at (0.0000, 0.0000, 0.3757).



(8)
A plane-wave DFT calculation with PBE was carried out for a relaxed structure of Ti5Re4Sn.

Its formation energy is -0.3898 eV/atom. Its magnetization is 0.000 μB/atom.

The space group is P4/mmm (No. 123) and the conventional cell measures 3.1889, 3.1889 and 15.6451 Å, with angles of 90.00, 90.00 and 90.00 degrees. The distinct sites, in fractional coordinates, are Ti at (0.0000, 0.0000, 0.0000), Ti at (0.0000, 0.0000, 0.1940), Ti at (0.0000, 0.0000, 0.3832), Re at (0.5000, 0.5000, 0.0985), Re at (0.5000, 0.5000, 0.2962) and Sn at (0.5000, 0.5000, 0.5000).



(9)
A plane-wave DFT calculation with PBE was carried out for a relaxed structure of Cs2HgSb.

As for the uncorrected formation energy: 8 meV per atom. Its magnetization is 0.259 μB/atom. For the offset from the most stable computed form, the calculation gives 366 meV/atom.

The space group is I-42d (No. 122) and the conventional cell measures 6.3763, 6.3763 and 23.7485 Å, with angles of 90.00, 90.00 and 90.00 degrees. The distinct sites, in fractional coordinates, are Cs at (0.2486, 0.2500, 0.1250), Hg at (0.0000, 0.0000, 0.0000) and Sb at (0.0000, 0.0000, 0.5000).



(10)
A plane-wave DFT calculation with PBE was carried out for a relaxed structure of LiLa3Tm2Te6.

As for the uncorrected formation energy: -1403 meV per atom. Its magnetization is 0.000 μB/atom.

The space group is C2/m (No. 12) and the conventional cell measures 19.3894, 4.4272 and 8.8945 Å, with angles of 90.00, 103.63 and 90.00 degrees. The distinct sites, in fractional coordinates, are Li at (0.0000, 0.0000, 0.0000), La at (0.0000, 0.0000, 0.5000), La at (0.1652, 0.5000, 0.8319), Tm at (0.1659, 0.5000, 0.3362), Te at (0.0052, 0.5000, 0.2341), Te at (0.1609, 0.0000, 0.0952) and Te at (0.1712, 0.0000, 0.5734).



(11)
A plane-wave DFT calculation with PBE was carried out for a relaxed structure of NaTlCo2Se.

As for the uncorrected formation energy: 1019 meV per atom. Its magnetization is 0.756 μB/atom.

The space group is P4/mmm (No. 123) and the conventional cell measures 4.9392, 4.9392 and 5.7554 Å, with angles of 90.00, 90.00 and 90.00 degrees. The distinct sites, in fractional coordinates, are Na at (0.0000, 0.0000, 0.0000), Tl at (0.5000, 0.5000, 0.5000), Co at (0.0000, 0.5000, 0.5000) and Se at (0.5000, 0.5000, 0.0000).